Computed, not measured: Er12Ge3O5 after structural relaxation at the PBE level of DFT.

It has space group Ia-3d (No. 230), with a = 15.074 Å, b = 15.074 Å, c = 15.074 Å, α = 90.00°, β = 90.00° and γ = 90.00°. Symmetry generates all atoms from Er at (0.037, 0.053, 0.650), Ge at (0.000, 0.250, 0.125), O at (0.000, 0.000, 0.000) and O at (0.000, 0.250, 0.375).

Its uncorrected formation energy is -1.678 eV per atom. The density of states at the Fermi level comes out at 0.70 states/eV per atom. The size of the total moment is 0.00 μB/f.u. The calculation puts the theoretical density at 8.94 g/cm³.